{"formula": "Tm2InOsC", "functional": "PBE-GGA", "state": "optimized geometry", "spacegroup": "No. 123", "lattice": [[3.947, 0.000, 0.000], [0.000, 4.926, 0.000], [0.000, 0.000, 4.926]], "species": ["Os", "Tm", "Tm", "In", "C"], "frac_coords": [[0.500, 0.000, 0.000], [0.000, 0.500, 0.000], [0.000, 0.000, 0.500], [0.500, 0.500, 0.500], [0.000, 0.000, 0.000]]}

{"formula": "InPC3", "functional": "PBE-GGA", "state": "optimized geometry", "spacegroup": "No. 221", "e_above_lowest_polymorph_ev_per_atom": 1.468, "lattice": [[-4.304, 0.422, 0.055], [-0.378, -3.538, -2.459], [-0.195, -2.452, 3.557]], "species": ["C", "C", "C", "In", "P"], "frac_coords": [[0.000, 0.000, 0.500], [0.000, 0.500, 0.000], [0.500, 0.000, 0.000], [0.000, 0.000, 0.000], [0.500, 0.500, 0.500]]}

{"formula": "InPC", "functional": "PBE-GGA", "state": "optimized geometry", "spacegroup": "No. 1", "e_above_lowest_polymorph_ev_per_atom": 0.119, "lattice": [[-2.676, 5.717, -3.919], [-2.162, -1.611, 2.383], [2.114, 0.145, 1.992]], "species": ["C", "In", "P"], "frac_coords": [[0.371, 0.943, 0.708], [0.704, 0.774, 0.209], [0.165, 0.734, 0.899]]}

{"formula": "InPC2", "functional": "PBE-GGA", "state": "optimized geometry", "spacegroup": "No. 122", "e_above_lowest_polymorph_ev_per_atom": 0.000, "lattice": [[4.793, 0.000, 0.000], [0.000, 4.793, 0.000], [2.397, 2.397, 4.311]], "species": ["P", "P", "C", "C", "C", "C", "In", "In"], "frac_coords": [[0.500, 0.500, 0.000], [0.250, 0.750, 0.500], [0.204, 0.625, 0.250], [0.546, 0.125, 0.250], [0.375, 0.454, 0.750], [0.875, 0.796, 0.750], [0.750, 0.250, 0.500], [0.000, 0.000, 0.000]]}

{"formula": "InPC", "functional": "PBE-GGA", "state": "optimized geometry", "spacegroup": "No. 8", "e_above_lowest_polymorph_ev_per_atom": 0.000, "lattice": [[-3.926, -3.810, 3.129], [1.252, -2.687, -0.278], [0.428, 1.595, 2.480]], "species": ["In", "P", "C"], "frac_coords": [[0.770, 0.722, 0.358], [0.293, 0.039, 0.516], [0.177, 0.450, 0.222]]}

{"formula": "InPC2", "functional": "PBE-GGA", "state": "optimized geometry", "spacegroup": "No. 225", "e_above_lowest_polymorph_ev_per_atom": 1.809, "lattice": [[3.067, 0.314, 2.731], [2.092, 3.531, 0.351], [-0.463, 2.344, 3.355]], "species": ["P", "In", "C", "C"], "frac_coords": [[0.000, 0.000, 0.000], [0.500, 0.500, 0.500], [0.250, 0.250, 0.250], [0.750, 0.750, 0.750]]}

{"formula": "In2PC", "functional": "PBE-GGA", "state": "optimized geometry", "spacegroup": "No. 122", "e_above_lowest_polymorph_ev_per_atom": 0.000, "lattice": [[5.634, 0.000, 0.000], [0.000, 5.634, 0.000], [2.817, 2.817, 5.369]], "species": ["In", "In", "In", "In", "C", "C", "P", "P"], "frac_coords": [[0.568, 0.125, 0.250], [0.875, 0.818, 0.750], [0.182, 0.625, 0.250], [0.375, 0.432, 0.750], [0.250, 0.750, 0.500], [0.500, 0.500, 0.000], [0.750, 0.250, 0.500], [0.000, 0.000, 0.000]]}

{"formula": "InPC", "functional": "PBE-GGA", "state": "optimized geometry", "spacegroup": "No. 8", "e_above_lowest_polymorph_ev_per_atom": 0.335, "lattice": [[-3.405, 1.008, -0.551], [-1.032, -0.972, 4.546], [-0.966, 3.422, 0.519]], "species": ["In", "C", "P"], "frac_coords": [[0.826, 0.688, 0.789], [0.159, 0.479, 0.123], [0.160, 0.128, 0.123]]}

{"formula": "InPC3", "functional": "PBE-GGA", "state": "optimized geometry", "spacegroup": "No. 221", "e_above_lowest_polymorph_ev_per_atom": 0.000, "lattice": [[3.766, 0.000, 0.000], [0.000, 3.766, 0.000], [0.000, 0.000, 3.766]], "species": ["P", "C", "C", "C", "In"], "frac_coords": [[0.000, 0.000, 0.000], [0.000, 0.000, 0.500], [0.500, 0.000, 0.000], [0.000, 0.500, 0.000], [0.500, 0.500, 0.500]]}

{"formula": "InP2C", "functional": "PBE-GGA", "state": "optimized geometry", "spacegroup": "No. 225", "e_above_lowest_polymorph_ev_per_atom": 1.158, "lattice": [[0.000, 3.160, 3.160], [3.160, 0.000, 3.160], [3.160, 3.160, 0.000]], "species": ["P", "P", "C", "In"], "frac_coords": [[0.750, 0.750, 0.750], [0.250, 0.250, 0.250], [0.000, 0.000, 0.000], [0.500, 0.500, 0.500]]}

{"formula": "InP2C", "functional": "PBE-GGA", "state": "optimized geometry", "spacegroup": "No. 122", "e_above_lowest_polymorph_ev_per_atom": 0.000, "lattice": [[-4.417, -2.935, 2.533], [-0.323, -3.548, -4.674], [0.090, -5.567, 0.525]], "species": ["In", "In", "P", "P", "P", "P", "C", "C"], "frac_coords": [[0.750, 0.250, 0.500], [0.000, 0.000, 0.000], [0.875, 0.765, 0.750], [0.375, 0.485, 0.750], [0.235, 0.625, 0.250], [0.515, 0.125, 0.250], [0.500, 0.500, 0.000], [0.250, 0.750, 0.500]]}

{"formula": "In2PC", "functional": "PBE-GGA", "state": "optimized geometry", "spacegroup": "No. 225", "e_above_lowest_polymorph_ev_per_atom": 0.730, "lattice": [[3.623, 2.473, 1.537], [-0.612, 3.212, 3.304], [1.659, -0.724, 4.281]], "species": ["In", "In", "C", "P"], "frac_coords": [[0.750, 0.750, 0.750], [0.250, 0.250, 0.250], [0.000, 0.000, 0.000], [0.500, 0.500, 0.500]]}

Q: Which size of the total moment values were calculated for the entries above? A: 0.0; 0.9; 0.0; 0.0; 0.0; 0.0; 0.0; 0.0; 0.0; 0.0; 0.0; 0.0, in μB/cell.
Q: Which calculated formation energy values were calculated for the entries above? A: -2.09; 17.27; 1.53; 1.99; 1.17; 9.23; 2.48; 2.18; 9.93; 6.89; 2.26; 5.40, in eV per formula unit.